Record 1
A geometry-optimized ErMg3Sc structure, computed with GGA-PBE.

Unit cell a=7.4317 b=7.4317 c=10.4722 alpha=90.00 beta=90.00 gamma=63.49
Fractional positions:
Mg  0.9076  0.9076  0.9033
Mg  0.3191  0.6809  0.0000
Mg  0.5644  0.1940  0.7500
Mg  0.1940  0.5644  0.7500
Mg  0.6809  0.3191  0.0000
Mg  0.6809  0.3191  0.5000
Mg  0.8060  0.4356  0.2500
Mg  0.4356  0.8060  0.2500
Mg  0.0924  0.0924  0.0967
Mg  0.3191  0.6809  0.5000
Mg  0.9076  0.9076  0.5967
Mg  0.0924  0.0924  0.4033
Sc  0.5000  0.0000  0.5000
Sc  0.0000  0.5000  0.5000
Sc  0.0000  0.5000  0.0000
Sc  0.5000  0.0000  0.0000
Er  0.6628  0.6628  0.7500
Er  0.1337  0.1337  0.7500
Er  0.3372  0.3372  0.2500
Er  0.8663  0.8663  0.2500

**E above lowest polymorph**: 5.4 kJ/mol of atoms
**Space group**: Cmcm, No. 63

=====

Record 2
A geometry-optimized SrFeRu4 structure, computed with GGA-PBE.

Unit cell a=5.2778 b=5.2778 c=5.2778 alpha=60.00 beta=60.00 gamma=60.00
Site moments in Bohr magnetons follow the coordinates.
Fractional positions:
Ru  0.8780  0.3740  0.3740  0.50
Ru  0.3740  0.3740  0.3740  0.50
Ru  0.3740  0.3740  0.8780  0.50
Ru  0.3740  0.8780  0.3740  0.50
Fe  0.0000  0.0000  0.0000  3.28
Sr  0.7500  0.7500  0.7500  0.00

**Space group**: F-43m, No. 216
**E**: -43.6 eV per formula unit